DFT (PBE) results for a relaxed structure of CsCdIN2.

The structure belongs to space group P4/mmm (No. 123); the cell edges are 4.887, 4.887 and 7.863 Å and the angles 90.00°, 90.00° and 90.00°. The asymmetric unit holds Cs at (0.000, 0.000, 0.000), Cd at (0.500, 0.500, 0.500), I at (0.000, 0.000, 0.500) and N at (0.000, 0.500, 0.000).

The calculation puts the uncorrected formation energy at 1.864 eV per atom. As for the crystal system: tetragonal. As for the offset from the most stable computed form: 838 meV per atom.

---

DFT (PBE) results for a relaxed structure of CsCdI2N.

The structure belongs to space group P4/mmm (No. 123); the cell edges are 5.827, 5.827 and 8.062 Å and the angles 90.00°, 90.00° and 90.00°. The asymmetric unit holds Cs at (0.000, 0.000, 0.000), Cd at (0.000, 0.000, 0.500), I at (0.000, 0.500, 0.500) and N at (0.500, 0.500, 0.000).

The calculation puts the uncorrected formation energy at 0.485 eV per atom. As for the crystal system: tetragonal. As for the offset from the most stable computed form: 550 meV per atom.